Record 1
VASP calculation (GGA-PBE) on a relaxed structure of Ho5Er12Cd2.

Geometry as POSCAR:
```
Ho5Er12Cd2
1.0
7.789 -4.576 0.000
7.789 4.576 0.000
-0.085 0.000 8.083
Ho Er Cd
5 12 2
direct
0.000 0.000 0.000
0.238 0.238 0.083
0.306 0.306 0.499
0.694 0.694 0.501
0.762 0.762 0.917
0.031 0.660 0.257
0.090 0.090 0.395
0.179 0.572 0.839
0.340 0.969 0.743
0.428 0.821 0.161
0.447 0.447 0.182
0.553 0.553 0.818
0.572 0.179 0.839
0.660 0.031 0.257
0.821 0.428 0.161
0.910 0.910 0.605
0.969 0.340 0.743
0.312 0.688 0.500
0.688 0.312 0.500
```

Properties
The energy relative to the elements is 0.0494 eV/atom. The energy is -4.13 eV per atom. The calculation puts the total magnetic moment at 0.00 μB per atom. The calculation puts the volume at 576.2 Å³/f.u.

Record 2
VASP calculation (GGA-PBE) on a relaxed structure of NpFe6.

Geometry as POSCAR:
```
NpFe6
1.0
7.831 0.000 0.000
0.000 4.631 0.000
0.000 0.000 10.288
Np Fe
4 24
direct
0.248 0.250 0.057
0.252 0.750 0.557
0.748 0.250 0.443
0.752 0.750 0.943
0.045 0.750 0.086
0.064 0.006 0.309
0.064 0.494 0.309
0.119 0.250 0.520
0.139 0.750 0.854
0.191 0.250 0.753
0.309 0.750 0.253
0.361 0.250 0.354
0.381 0.750 0.020
0.436 0.506 0.809
0.436 0.994 0.809
0.455 0.250 0.586
0.545 0.750 0.414
0.564 0.006 0.191
0.564 0.494 0.191
0.619 0.250 0.980
0.639 0.750 0.646
0.691 0.250 0.747
0.809 0.750 0.247
0.861 0.250 0.146
0.881 0.750 0.480
0.936 0.506 0.691
0.936 0.994 0.691
0.955 0.250 0.914
```

Properties
As for the relative energy among the computed polymorphs: 0 meV/atom. The energy relative to the elements is 0.0837 eV/atom. The energy is -9.02 eV per atom. The calculation puts the total magnetic moment at 1.24 μB per atom. The calculation puts the volume at 93.3 Å³/f.u.

Record 3
VASP calculation (GGA-PBE) on a relaxed structure of LiCrOs2.

Geometry as POSCAR:
```
LiCrOs2
1.0
2.691 0.000 0.000
0.000 3.668 0.000
0.000 0.000 5.234
Li Cr Os
1 1 2
direct
0.000 0.000 0.000
0.000 0.000 0.500
0.500 0.500 0.242
0.500 0.500 0.758
```

Properties
As for the relative energy among the computed polymorphs: 178 meV/atom. The energy relative to the elements is 0.2862 eV/atom. The energy is -8.21 eV per atom. The calculation puts the total magnetic moment at 0.12 μB per atom. The calculation puts the volume at 51.7 Å³/f.u.

Record 4
VASP calculation (GGA-PBE) on a relaxed structure of PaCo5B.

Geometry as POSCAR:
```
PaCo5B
1.0
3.655 0.000 0.000
0.000 3.655 0.000
0.000 0.000 6.290
Pa Co B
1 5 1
direct
0.000 0.000 0.000
0.000 0.500 0.315
0.000 0.500 0.685
0.500 0.000 0.315
0.500 0.000 0.685
0.500 0.500 0.000
0.500 0.500 0.500
```

Properties
The energy relative to the elements is -0.1029 eV/atom. The energy is -7.49 eV per atom. The calculation puts the total magnetic moment at 0.49 μB per atom. The calculation puts the volume at 84.0 Å³/f.u.

Record 5
VASP calculation (GGA-PBE) on a relaxed structure of Ta2ReOF.

Geometry as POSCAR:
```
Ta2ReOF
1.0
4.139 0.000 0.000
0.000 4.139 0.000
0.000 0.000 4.155
Ta Re O F
2 1 1 1
direct
0.000 0.500 0.000
0.500 0.000 0.000
0.000 0.000 0.500
0.500 0.500 0.500
0.500 0.500 0.000
```

Properties
The uncorrected formation energy comes out at 0.3601 eV per atom. The energy is -8.24 eV per atom. The calculation puts the total magnetic moment at 0.00 μB per atom. The calculation puts the volume at 71.2 Å³/f.u.

Record 6
VASP calculation (GGA-PBE) on a relaxed structure of Cd2AgPt9.

Geometry as POSCAR:
```
Cd2AgPt9
1.0
4.025 0.000 0.000
0.000 4.025 0.000
0.000 0.000 12.105
Cd Ag Pt
2 1 9
direct
0.000 0.000 0.168
0.000 0.000 0.832
0.000 0.000 0.500
0.000 0.500 0.000
0.000 0.500 0.335
0.000 0.500 0.665
0.500 0.000 0.000
0.500 0.000 0.335
0.500 0.000 0.665
0.500 0.500 0.168
0.500 0.500 0.500
0.500 0.500 0.832
```

Properties
The energy relative to the elements is -0.1092 eV/atom. The energy is -5.03 eV per atom. The calculation puts the total magnetic moment at 0.00 μB per atom. The calculation puts the volume at 196.1 Å³/f.u.

Q: energy of number 6 (Cd2AgPt9)?
A: -5.03 eV per atom

Copy entry 1 word for word.
VASP calculation (GGA-PBE) on a relaxed structure of Ho5Er12Cd2.

Geometry as POSCAR:
```
Ho5Er12Cd2
1.0
7.789 -4.576 0.000
7.789 4.576 0.000
-0.085 0.000 8.083
Ho Er Cd
5 12 2
direct
0.000 0.000 0.000
0.238 0.238 0.083
0.306 0.306 0.499
0.694 0.694 0.501
0.762 0.762 0.917
0.031 0.660 0.257
0.090 0.090 0.395
0.179 0.572 0.839
0.340 0.969 0.743
0.428 0.821 0.161
0.447 0.447 0.182
0.553 0.553 0.818
0.572 0.179 0.839
0.660 0.031 0.257
0.821 0.428 0.161
0.910 0.910 0.605
0.969 0.340 0.743
0.312 0.688 0.500
0.688 0.312 0.500
```

Properties
The energy relative to the elements is 0.0494 eV/atom. The energy is -4.13 eV per atom. The calculation puts the total magnetic moment at 0.00 μB per atom. The calculation puts the volume at 576.2 Å³/f.u.

Q: Among the records above, which one has the highest volume?
A: Ho5Er12Cd2